Density functional theory data (GGA-PBE) for a geometry-optimized PmOsC structure.

## Properties
As for the magnetization: 0.00 μB per formula unit. The formation energy comes out at 526.0 meV per atom. Its density of states at the Fermi level is 0.6712 states/eV/atom. As for the calculated total energy: -7.8755 eV per atom.

Structure (extended XYZ):
```
6
Lattice="2.911 0.000 0.000 0.000 2.911 0.000 0.000 0.000 10.631" Properties=species:S:1:pos:R:3 pbc="T T T"
Pm 0.000 0.000 0.000
Pm 1.455 1.455 5.316
Os 0.000 0.000 2.900
Os 1.455 1.455 8.216
C 0.000 0.000 7.420
C 1.455 1.455 2.105
```


Density functional theory data (GGA-PBE) for a geometry-optimized ZrNiAu2 structure.

## Properties
As for the magnetization: 0.00 μB per formula unit. The formation energy comes out at -321.9 meV per atom. Its density of states at the Fermi level is 0.5490 states/eV/atom. As for the calculated total energy: -5.5429 eV per atom.

Structure (extended XYZ):
```
4
Lattice="3.376 0.000 0.000 0.000 3.400 0.000 0.000 0.000 6.066" Properties=species:S:1:pos:R:3 pbc="T T T"
Zr 0.000 0.000 0.000
Ni 1.688 1.700 4.689
Au 0.000 0.000 3.277
Au 1.688 1.700 1.669
```


Density functional theory data (GGA-PBE) for a geometry-optimized Na2AgBiI6 structure.

## Properties
The uncorrected formation energy comes out at -7.046 eV/f.u. As for the magnetization: 0.00 μB per formula unit. Its density of states at the Fermi level is 0.0000 states/eV/atom. As for the calculated total energy: -2.5717 eV per atom.

Structure (extended XYZ):
```
10
Lattice="7.962 0.000 0.000 3.980 6.904 0.000 0.005 4.595 7.104" Properties=species:S:1:pos:R:3 pbc="T T T"
Na 0.000 0.000 0.000
Na 3.982 2.298 3.424
Ag 3.980 6.904 6.352
Bi 7.963 4.604 2.982
I 1.544 2.519 1.272
I 2.482 4.744 4.907
I 5.386 4.307 1.274
I 6.600 6.678 4.910
I 8.992 6.984 1.276
I 10.828 9.285 4.907
```


- What is the formula in the first record?
  PmOsC


- The highest calculated total energy belongs to which entry?
  Na2AgBiI6


- Among the records above, which one has the lowest calculated total energy?
  PmOsC